SrWO2 | PBE+U | optimized geometry

```
SrWO2
1.0
-2.774 0.808 3.052
-4.080 0.402 -0.922
-2.727 -2.964 1.200
O W Sr
2 1 1
Direct
0.250 0.250 0.250
0.750 0.750 0.750
0.500 0.500 0.500
0.000 0.000 0.000
```

Values from the calculation:
offset from the most stable computed form = 916.8 meV per atom
total magnetic moment = 0.00 μB per formula unit
DOS at the Fermi energy = 0.00 states/eV per atom